(1)
ThTlAg4 | Alexandria via LeMat-Bulk | PBE | optimized geometry; symmetry = F-43m
1.0
5.6928 0.0000 0.0000
2.8464 4.9301 0.0000
2.8464 1.6434 4.6482
Ag Tl Th
4 1 1
direct
0.1251 0.6250 0.6250
0.6250 0.6250 0.6250
0.6250 0.1251 0.6250
0.6250 0.6250 0.1251
0.0000 0.0000 0.0000
0.2500 0.2500 0.2500

(2)
LaReAu2 | Alexandria via LeMat-Bulk | PBE | optimized geometry; energy above the lowest structure with this stoichiometry = 43 meV/atom; symmetry = Pm
1.0
4.8259 0.0000 0.0000
0.0000 3.0113 -0.0161
0.0000 0.8150 5.5960
La Au Re
1 2 1
direct
0.0000 0.5484 0.4730
0.0000 0.1064 0.9567
0.5000 0.1014 0.2495
0.5000 0.7438 0.8208

Calculated energy of formation, -0.0323 0.2039 eV per atom (same order as the records).
Calculated Fermi-level density of states, 3.90 2.28 states/eV per cell (same order as the records).
Calculated final energy, -3.564 -5.779 eV per atom (same order as the records).